[1]
Here is TaAu2Br at its PBEsol-relaxed geometry from Alexandria via LeMat-Bulk. Energies are from meta-GGA SCAN.

Its energy above the most stable polymorph in this dataset is 0.0000 eV/atom. As for the formation energy from raw total energies: -34 meV/atom. The electronic total energy is -224.49 eV per formula unit. For the density of states at the Fermi level, the calculation gives 1.57 states/eV per cell. The value obtained for the mass density is 13.1 g cm⁻³.

The structure belongs to space group Pm (No. 6); the cell edges are 3.2840, 3.3030 and 7.6550 Å and the angles 90.00°, 90.08° and 90.00°. Symmetry generates all atoms from Ta at (0.0000, 0.0000, 0.0000), Au at (0.4994, 0.5000, 0.8108), Au at (0.9987, 0.0000, 0.6159) and Br at (0.0003, 0.5000, 0.2583).

=====

[2]
Here is Ho2MgOs at its PBEsol-relaxed geometry from Alexandria via LeMat-Bulk. Energies are from meta-GGA SCAN.

The electronic total energy is -175.93 eV per formula unit. The value obtained for the energy of formation is -0.2748 eV/atom. For the density of states at the Fermi level, the calculation gives 9.06 states/eV per cell. The value obtained for the mass density is 10.8 g cm⁻³.

The structure belongs to space group Fm-3m (No. 225); the cell edges are 6.9363, 6.9363 and 6.9363 Å and the angles 90.00°, 90.00° and 90.00°. Symmetry generates all atoms from Ho at (0.2500, 0.2500, 0.2500), Mg at (0.0000, 0.0000, 0.0000) and Os at (0.0000, 0.0000, 0.5000).

=====

[3]
Here is K2BaMo at its PBEsol-relaxed geometry from Alexandria via LeMat-Bulk. Energies are from meta-GGA SCAN.

Its energy above the most stable polymorph in this dataset is 0.0990 eV/atom. The electronic total energy is -86.56 eV per formula unit. The value obtained for the energy of formation is 1.1330 eV/atom. For the density of states at the Fermi level, the calculation gives 19.88 states/eV per cell. The value obtained for the mass density is 3.0 g cm⁻³.

The structure belongs to space group Fm-3m (No. 225); the cell edges are 8.7873, 8.7873 and 8.7873 Å and the angles 90.00°, 90.00° and 90.00°. Symmetry generates all atoms from K at (0.2500, 0.2500, 0.2500), Ba at (0.0000, 0.0000, 0.0000) and Mo at (0.0000, 0.0000, 0.5000).

=====

[4]
Here is VGaO3 at its PBEsol-relaxed geometry from Alexandria via LeMat-Bulk. Energies are from meta-GGA SCAN.

As for the formation energy from raw total energies: -2259 meV/atom. The electronic total energy is -63.82 eV per formula unit. For the density of states at the Fermi level, the calculation gives 0.04 states/eV per cell. The value obtained for the mass density is 5.8 g cm⁻³.

The structure belongs to space group Pnma (No. 62); the cell edges are 5.0626, 7.5962 and 5.0534 Å and the angles 90.00°, 90.00° and 90.00°. Symmetry generates all atoms from V at (0.0000, 0.0000, 0.0000), Ga at (0.0207, 0.2500, 0.4881), O at (0.1125, 0.7500, 0.8719) and O at (0.1689, 0.5716, 0.3343).

=====

[5]
Here is CdSb2As at its PBEsol-relaxed geometry from Alexandria via LeMat-Bulk. Energies are from meta-GGA SCAN.

Its energy above the most stable polymorph in this dataset is 0.2665 eV/atom. As for the formation energy from raw total energies: 307 meV/atom. The electronic total energy is -123.90 eV per formula unit. For the density of states at the Fermi level, the calculation gives 11.18 states/eV per cell. The value obtained for the mass density is 7.8 g cm⁻³.

The structure belongs to space group Fm-3m (No. 225); the cell edges are 7.1736, 7.1736 and 7.1736 Å and the angles 90.00°, 90.00° and 90.00°. Symmetry generates all atoms from Cd at (0.0000, 0.0000, 0.0000), Sb at (0.2500, 0.2500, 0.2500) and As at (0.0000, 0.0000, 0.5000).

=====

[6]
Here is CoMo2Cl at its PBEsol-relaxed geometry from Alexandria via LeMat-Bulk. Energies are from meta-GGA SCAN.

Its energy above the most stable polymorph in this dataset is 0.0000 eV/atom. As for the formation energy from raw total energies: 309 meV/atom. The electronic total energy is -93.82 eV per formula unit. For the density of states at the Fermi level, the calculation gives 2.33 states/eV per cell. The value obtained for the mass density is 7.6 g cm⁻³.

The structure belongs to space group Pm (No. 6); the cell edges are 3.0968, 3.0035 and 6.7416 Å and the angles 90.00°, 92.78° and 90.00°. Symmetry generates all atoms from Co at (0.0000, 0.0000, 0.0000), Mo at (0.0220, 0.0000, 0.5901), Mo at (0.4749, 0.5000, 0.8207) and Cl at (0.0156, 0.5000, 0.2910).

=====

[7]
Here is RbHfPS2 at its PBEsol-relaxed geometry from Alexandria via LeMat-Bulk. Energies are from meta-GGA SCAN.

As for the formation energy from raw total energies: -958 meV/atom. The electronic total energy is -117.85 eV per formula unit. For the density of states at the Fermi level, the calculation gives 2.49 states/eV per cell. The value obtained for the mass density is 4.8 g cm⁻³.

The structure belongs to space group P4/mmm (No. 123); the cell edges are 4.9673, 4.9673 and 5.0296 Å and the angles 90.00°, 90.00° and 90.00°. Symmetry generates all atoms from Rb at (0.0000, 0.0000, 0.0000), Hf at (0.5000, 0.5000, 0.5000), P at (0.5000, 0.5000, 0.0000) and S at (0.0000, 0.5000, 0.5000).

=====

[8]
Here is K3BiI at its PBEsol-relaxed geometry from Alexandria via LeMat-Bulk. Energies are from meta-GGA SCAN.

As for the formation energy from raw total energies: -569 meV/atom. The electronic total energy is -143.15 eV per formula unit. For the density of states at the Fermi level, the calculation gives 2.75 states/eV per cell. The value obtained for the mass density is 2.6 g cm⁻³.

The structure belongs to space group Pm-3m (No. 221); the cell edges are 6.6353, 6.6353 and 6.6353 Å and the angles 90.00°, 90.00° and 90.00°. Symmetry generates all atoms from K at (0.0000, 0.0000, 0.5000), Bi at (0.0000, 0.0000, 0.0000) and I at (0.5000, 0.5000, 0.5000).

=====

[9]
Here is Fe2CoSb at its PBEsol-relaxed geometry from Alexandria via LeMat-Bulk. Energies are from meta-GGA SCAN.

As for the formation energy from raw total energies: 240 meV/atom. The electronic total energy is -89.86 eV per formula unit. For the density of states at the Fermi level, the calculation gives 3.18 states/eV per cell. The value obtained for the mass density is 9.1 g cm⁻³.

The structure belongs to space group Pmmm (No. 47); the cell edges are 2.8826, 3.6330 and 5.0835 Å and the angles 90.00°, 90.00° and 90.00°. Symmetry generates all atoms from Fe at (0.0000, 0.0000, 0.2247), Co at (0.5000, 0.5000, 0.0000) and Sb at (0.5000, 0.5000, 0.5000).

=====

[10]
Here is Rb2TlHgCl6 at its PBEsol-relaxed geometry from Alexandria via LeMat-Bulk. Energies are from meta-GGA SCAN.

As for the formation energy from raw total energies: -1319 meV/atom. The electronic total energy is -243.06 eV per formula unit. For the density of states at the Fermi level, the calculation gives 4.97 states/eV per cell. The value obtained for the mass density is 4.3 g cm⁻³.

The structure belongs to space group Fm-3m (No. 225); the cell edges are 10.6543, 10.6543 and 10.6543 Å and the angles 90.00°, 90.00° and 90.00°. Symmetry generates all atoms from Rb at (0.2500, 0.2500, 0.2500), Tl at (0.0000, 0.0000, 0.0000), Hg at (0.0000, 0.0000, 0.5000) and Cl at (0.0000, 0.0000, 0.2540).

=====

[11]
Here is Zr2TiPb3O9 at its PBEsol-relaxed geometry from Alexandria via LeMat-Bulk. Energies are from meta-GGA SCAN.

Its energy above the most stable polymorph in this dataset is 0.0083 eV/atom. As for the formation energy from raw total energies: -2627 meV/atom. The electronic total energy is -400.25 eV per formula unit. For the density of states at the Fermi level, the calculation gives 0.00 states/eV per cell. The value obtained for the mass density is 8.0 g cm⁻³.

The structure belongs to space group P3m1 (No. 156); the cell edges are 5.7589, 5.7589 and 7.1643 Å and the angles 90.00°, 90.00° and 120.00°. Symmetry generates all atoms from Zr at (0.0000, 0.0000, 0.0000), Zr at (0.3333, 0.6667, 0.3458), Ti at (0.6667, 0.3333, 0.6711), Pb at (0.0000, 0.0000, 0.4678), Pb at (0.3333, 0.6667, 0.8022), Pb at (0.6667, 0.3333, 0.1225), O at (0.0014, 0.5007, 0.5454), O at (0.1592, 0.3185, 0.2040) and O at (0.3551, 0.1776, 0.8627).

=====

[12]
Here is ZnCd2TcB at its PBEsol-relaxed geometry from Alexandria via LeMat-Bulk. Energies are from meta-GGA SCAN.

The electronic total energy is -107.93 eV per formula unit. The value obtained for the energy of formation is 1.7812 eV/atom. For the density of states at the Fermi level, the calculation gives 3.23 states/eV per cell. The value obtained for the mass density is 5.4 g cm⁻³.

The structure belongs to space group P4/mmm (No. 123); the cell edges are 5.0904, 5.0904 and 4.7024 Å and the angles 90.00°, 90.00° and 90.00°. Symmetry generates all atoms from Zn at (0.0000, 0.0000, 0.0000), Cd at (0.0000, 0.5000, 0.5000), Tc at (0.0000, 0.0000, 0.5000) and B at (0.5000, 0.5000, 0.0000).

=====

[13]
Here is ScCr2 at its PBEsol-relaxed geometry from Alexandria via LeMat-Bulk. Energies are from meta-GGA SCAN.

The electronic total energy is -50.22 eV per formula unit. The value obtained for the energy of formation is 0.2621 eV/atom. For the density of states at the Fermi level, the calculation gives 6.89 states/eV per cell. The value obtained for the mass density is 5.8 g cm⁻³.

The structure belongs to space group C2/m (No. 12); the cell edges are 10.1385, 2.9643 and 2.9645 Å and the angles 90.00°, 106.76° and 90.00°. Symmetry generates all atoms from Sc at (0.0000, 0.0000, 0.0000) and Cr at (0.1934, 0.5000, 0.6916).

=====

[14]
Here is Mn3AuSe at its PBEsol-relaxed geometry from Alexandria via LeMat-Bulk. Energies are from meta-GGA SCAN.

As for the formation energy from raw total energies: 233 meV/atom. The electronic total energy is -142.84 eV per formula unit. For the density of states at the Fermi level, the calculation gives 3.08 states/eV per cell. The value obtained for the mass density is 6.5 g cm⁻³.

The structure belongs to space group Pm-3m (No. 221); the cell edges are 4.8357, 4.8357 and 4.8357 Å and the angles 90.00°, 90.00° and 90.00°. Symmetry generates all atoms from Mn at (0.0000, 0.0000, 0.5000), Au at (0.0000, 0.0000, 0.0000) and Se at (0.5000, 0.5000, 0.5000).

=====

[15]
Here is BaTiSi2Pb at its PBEsol-relaxed geometry from Alexandria via LeMat-Bulk. Energies are from meta-GGA SCAN.

Its energy above the most stable polymorph in this dataset is 0.0000 eV/atom. As for the formation energy from raw total energies: 1271 meV/atom. The electronic total energy is -145.04 eV per formula unit. For the density of states at the Fermi level, the calculation gives 3.41 states/eV per cell. The value obtained for the mass density is 4.4 g cm⁻³.

The structure belongs to space group P4/mmm (No. 123); the cell edges are 5.2604, 5.2604 and 6.1024 Å and the angles 90.00°, 90.00° and 90.00°. Symmetry generates all atoms from Ba at (0.0000, 0.0000, 0.0000), Ti at (0.5000, 0.5000, 0.0000), Si at (0.0000, 0.5000, 0.5000) and Pb at (0.0000, 0.0000, 0.5000).

=====

[16]
Here is ScHgRh2 at its PBEsol-relaxed geometry from Alexandria via LeMat-Bulk. Energies are from meta-GGA SCAN.

The electronic total energy is -152.21 eV per formula unit. The value obtained for the energy of formation is -0.5670 eV/atom. For the density of states at the Fermi level, the calculation gives 1.70 states/eV per cell. The value obtained for the mass density is 11.6 g cm⁻³.

The structure belongs to space group P4/mmm (No. 123); the cell edges are 3.2123, 3.2123 and 6.2849 Å and the angles 90.00°, 90.00° and 90.00°. Symmetry generates all atoms from Sc at (0.0000, 0.0000, 0.0000), Hg at (0.0000, 0.0000, 0.5000) and Rh at (0.5000, 0.5000, 0.2400).

=====

[17]
Here is Rb2BeB at its PBEsol-relaxed geometry from Alexandria via LeMat-Bulk. Energies are from meta-GGA SCAN.

The electronic total energy is -50.95 eV per formula unit. The value obtained for the energy of formation is 0.5788 eV/atom. For the density of states at the Fermi level, the calculation gives 7.00 states/eV per cell. The value obtained for the mass density is 2.2 g cm⁻³.

The structure belongs to space group I-42d (No. 122); the cell edges are 12.4172, 12.4172 and 3.6963 Å and the angles 90.00°, 90.00° and 90.00°. Symmetry generates all atoms from Rb at (0.0467, 0.7500, 0.1250), Be at (0.0000, 0.0000, 0.5000) and B at (0.0000, 0.0000, 0.0000).

=====

[18]
Here is TeMoO3 at its PBEsol-relaxed geometry from Alexandria via LeMat-Bulk. Energies are from meta-GGA SCAN.

As for the formation energy from raw total energies: -919 meV/atom. The electronic total energy is -95.43 eV per formula unit. For the density of states at the Fermi level, the calculation gives 4.46 states/eV per cell. The value obtained for the mass density is 7.2 g cm⁻³.

The structure belongs to space group Pm-3m (No. 221); the cell edges are 3.9634, 3.9634 and 3.9634 Å and the angles 90.00°, 90.00° and 90.00°. Symmetry generates all atoms from Te at (0.0000, 0.0000, 0.0000), Mo at (0.5000, 0.5000, 0.5000) and O at (0.0000, 0.5000, 0.5000).

=====

[19]
Here is BaMgCl2 at its PBEsol-relaxed geometry from Alexandria via LeMat-Bulk. Energies are from meta-GGA SCAN.

Its energy above the most stable polymorph in this dataset is 0.3239 eV/atom. As for the formation energy from raw total energies: -1328 meV/atom. The electronic total energy is -65.79 eV per formula unit. For the density of states at the Fermi level, the calculation gives 7.69 states/eV per cell. The value obtained for the mass density is 3.2 g cm⁻³.

The structure belongs to space group R-3m (No. 166, hexagonal axes); the cell edges are 3.9300, 3.9300 and 27.1810 Å and the angles 90.00°, 90.00° and 120.00°. Symmetry generates all atoms from Ba at (0.0000, 0.0000, 0.0000), Mg at (0.0000, 0.0000, 0.5000) and Cl at (0.0000, 0.0000, 0.1196).

=====

[20]
Here is MnB2W2 at its PBEsol-relaxed geometry from Alexandria via LeMat-Bulk. Energies are from meta-GGA SCAN.

The electronic total energy is -174.55 eV per formula unit. The value obtained for the energy of formation is -0.4119 eV/atom. For the density of states at the Fermi level, the calculation gives 3.14 states/eV per cell. The value obtained for the mass density is 14.2 g cm⁻³.

The structure belongs to space group P4/mbm (No. 127); the cell edges are 5.7402, 5.7402 and 3.1565 Å and the angles 90.00°, 90.00° and 90.00°. Symmetry generates all atoms from Mn at (0.0000, 0.0000, 0.0000), B at (0.1147, 0.3853, 0.0000) and W at (0.1780, 0.6780, 0.5000).